An optimized crystal structure of NdHfSc2. Source: the Alexandria database, functional PBE.

Geometry as POSCAR:
```
NdHfSc2
1.0
4.722 0.000 0.000
0.000 4.722 0.000
0.000 0.000 4.620
Nd Hf Sc
1 1 2
Cartesian
0.000 0.000 0.000
2.361 2.361 0.000
0.000 2.361 2.310
2.361 0.000 2.310
```

Its space group is P4/mmm (123). The calculation puts the magnetization at 0.00 μB per formula unit. The value obtained for the formation energy is 0.137 eV/atom. Its total energy is -6.7093 eV/atom.